1.
The following is a DFT calculation (PBE-GGA) of an optimized crystal structure of Tc3Ru5O12.

Unit cell a=10.5036 b=10.5036 c=10.5036 alpha=109.47 beta=109.47 gamma=109.47
Closest atoms and distances in Å follow each position.
Fractional positions:
1 Tc 0.7500 0.3750 0.1250  8 O 2.21-2.24
2 Tc 0.8750 0.7500 0.1250  8 O 2.21-2.24
3 Tc 0.3750 0.7500 0.6250  8 O 2.21-2.24
4 Tc 0.2500 0.1250 0.3750  8 O 2.21-2.24
5 Tc 0.8750 0.1250 0.2500  8 O 2.21-2.24
6 Tc 0.3750 0.6250 0.2500  8 O 2.21-2.24
7 Tc 0.6250 0.3750 0.7500  8 O 2.21-2.24
8 Tc 0.1250 0.8750 0.7500  8 O 2.21-2.24
9 Tc 0.7500 0.8750 0.6250  8 O 2.21-2.24
10 Tc 0.6250 0.2500 0.3750  8 O 2.21-2.24
11 Tc 0.1250 0.2500 0.8750  8 O 2.21-2.24
12 Tc 0.2500 0.6250 0.8750  8 O 2.21-2.24
13 Ru 0.1250 0.3750 0.2500  4 O 1.97
14 Ru 0.0000 0.5000 0.0000  6 O 2.04
15 Ru 0.0000 0.0000 0.0000  6 O 2.04
16 Ru 0.3750 0.2500 0.1250  4 O 1.97
17 Ru 0.5000 0.0000 0.5000  6 O 2.04
18 Ru 0.5000 0.5000 0.0000  6 O 2.04
19 Ru 0.1250 0.7500 0.3750  4 O 1.97
20 Ru 0.7500 0.1250 0.8750  4 O 1.97
21 Ru 0.7500 0.6250 0.3750  4 O 1.97
22 Ru 0.3750 0.1250 0.7500  4 O 1.97
23 Ru 0.6250 0.8750 0.2500  4 O 1.97
24 Ru 0.5000 0.5000 0.5000  6 O 2.04
25 Ru 0.5000 0.0000 0.0000  6 O 2.04
26 Ru 0.0000 0.0000 0.5000  6 O 2.04
27 Ru 0.2500 0.3750 0.6250  4 O 1.97
28 Ru 0.2500 0.8750 0.1250  4 O 1.97
29 Ru 0.0000 0.5000 0.5000  6 O 2.04
30 Ru 0.8750 0.2500 0.6250  4 O 1.97
31 Ru 0.6250 0.7500 0.8750  4 O 1.97
32 Ru 0.8750 0.6250 0.7500  4 O 1.97
33 O 0.7214 0.1393 0.0544  2 Ru 1.97-2.04
34 O 0.3330 0.5544 0.4151  2 Ru 1.97-2.04
35 O 0.9456 0.3607 0.2786  2 Ru 1.97-2.04
36 O 0.5544 0.2214 0.1393  2 Ru 1.97-2.04
37 O 0.5821 0.7214 0.6670  2 Ru 1.97-2.04
38 O 0.9456 0.5849 0.1670  2 Ru 1.97-2.04
39 O 0.3330 0.7786 0.4179  2 Ru 1.97-2.04
40 O 0.0849 0.9179 0.1393  2 Ru 1.97-2.04
41 O 0.5849 0.9456 0.6670  2 Ru 1.97-2.04
42 O 0.7214 0.5821 0.1670  2 Ru 1.97-2.04
43 O 0.7786 0.4456 0.3607  2 Ru 1.97-2.04
44 O 0.8330 0.9151 0.0544  2 Ru 1.97-2.04
45 O 0.1393 0.7214 0.5544  2 Ru 1.97-2.04
46 O 0.3607 0.4151 0.0821  2 Ru 1.97-2.04
47 O 0.0821 0.9151 0.3607  2 Ru 1.97-2.04
48 O 0.4179 0.1393 0.5849  2 Ru 1.97-2.04
49 O 0.0821 0.1670 0.2214  2 Ru 1.97-2.04
50 O 0.4456 0.6670 0.0849  2 Ru 1.97-2.04
51 O 0.8330 0.9179 0.2786  2 Ru 1.97-2.04
52 O 0.1393 0.4179 0.0849  2 Ru 1.97-2.04
53 O 0.3607 0.9456 0.7786  2 Ru 1.97-2.04
54 O 0.5849 0.6393 0.4179  2 Ru 1.97-2.04
55 O 0.9151 0.8330 0.5544  2 Ru 1.97-2.04
56 O 0.7786 0.3330 0.9179  2 Ru 1.97-2.04
57 O 0.4151 0.3607 0.5821  2 Ru 1.97-2.04
58 O 0.0849 0.1670 0.4456  2 Ru 1.97-2.04
59 O 0.2214 0.6670 0.0821  2 Ru 1.97-2.04
60 O 0.1670 0.0821 0.7214  2 Ru 1.97-2.04
61 O 0.6393 0.0544 0.2214  2 Ru 1.97-2.04
62 O 0.8607 0.5821 0.9151  2 Ru 1.97-2.04
63 O 0.5544 0.3330 0.9151  2 Ru 1.97-2.04
64 O 0.5821 0.8607 0.4151  2 Ru 1.97-2.04
65 O 0.9179 0.8330 0.7786  2 Ru 1.97-2.04
66 O 0.9179 0.0849 0.6393  2 Ru 1.97-2.04
67 O 0.8607 0.2786 0.4456  2 Ru 1.97-2.04
68 O 0.1670 0.0849 0.9456  2 Ru 1.97-2.04
69 O 0.6393 0.5849 0.9179  2 Ru 1.97-2.04
70 O 0.4151 0.0544 0.3330  2 Ru 1.97-2.04
71 O 0.2786 0.4179 0.8330  2 Ru 1.97-2.04
72 O 0.2214 0.5544 0.6393  2 Ru 1.97-2.04
73 O 0.9151 0.0821 0.8607  2 Ru 1.97-2.04
74 O 0.6670 0.2214 0.5821  2 Ru 1.97-2.04
75 O 0.4456 0.7786 0.8607  2 Ru 1.97-2.04
76 O 0.0544 0.4151 0.8330  2 Ru 1.97-2.04
77 O 0.4179 0.2786 0.3330  2 Ru 1.97-2.04
78 O 0.0544 0.6393 0.7214  2 Ru 1.97-2.04
79 O 0.6670 0.4456 0.5849  2 Ru 1.97-2.04
80 O 0.2786 0.8607 0.9456  2 Ru 1.97-2.04

Results
**Raw formation energy**: -0.416 eV per atom
**Space group**: No. 230
**DFT total energy**: -7.2645 eV/atom
**Spin magnetization**: 0.002 μB per cell

2.
The following is a DFT calculation (PBE-GGA) of an optimized crystal structure of LiInNi3.

Unit cell a=4.0335 b=4.0335 c=4.0335 alpha=90.00 beta=90.00 gamma=90.00
Closest atoms and distances in Å follow each position.
Fractional positions:
1 Ni 0.0000 0.5000 0.0000  2 Li 2.02
2 Ni 0.0000 0.0000 0.5000  2 Li 2.02
3 Ni 0.5000 0.0000 0.0000  2 Li 2.02
4 Li 0.0000 0.0000 0.0000  6 Ni 2.02
5 In 0.5000 0.5000 0.5000  12 Ni 2.85

Results
**Formation energy from the elements**: 0.44 eV per atom
**Space group**: No. 221
**DFT total energy**: -3.9613 eV/atom
**Spin magnetization**: 0.000 μB per cell

3.
The following is a DFT calculation (PBE-GGA) of an optimized crystal structure of TcIr2Au.

Unit cell a=2.7646 b=2.7646 c=8.0009 alpha=90.00 beta=90.00 gamma=90.00
Closest atoms and distances in Å follow each position.
Fractional positions:
1 Au 0.5000 0.5000 0.7476  4 Au 2.76, 4 Tc 2.87, 4 Ir 2.89
2 Ir 0.0000 0.0000 0.0134  8 Ir 2.74-2.76, 4 Au 2.89
3 Ir 0.5000 0.5000 0.2541  4 Tc 2.69, 8 Ir 2.74-2.76
4 Tc 0.0000 0.0000 0.4849  4 Ir 2.69, 4 Tc 2.76, 4 Au 2.87

Results
**Formation energy from the elements**: 0.15 eV per atom
**Space group**: No. 99
**DFT total energy**: -7.6867 eV/atom
**Spin magnetization**: 0.000 μB per cell

4.
The following is a DFT calculation (PBE-GGA) of an optimized crystal structure of Li8In3Pb3.

Unit cell a=4.7875 b=8.8374 c=8.6927 alpha=120.55 beta=105.98 gamma=90.00
Closest atoms and distances in Å follow each position.
Fractional positions:
1 Li 0.3728 0.1038 0.7455  3 Li 2.71-2.75, 3 In 2.73-3.00, 1 Pb 2.98
2 Li 0.6272 0.8962 0.2545  3 Li 2.71-2.75, 3 In 2.73-3.00, 1 Pb 2.98
3 Li 0.3728 0.6417 0.7455  3 Li 2.71-2.75, 3 In 2.73-3.00, 1 Pb 2.98
4 Li 0.6272 0.3583 0.2545  3 Li 2.71-2.75, 3 In 2.73-3.00, 1 Pb 2.98
5 Li 0.1880 0.8395 0.3760  4 Li 2.68-2.75, 1 In 2.88
6 Li 0.8120 0.1605 0.6240  4 Li 2.68-2.75, 1 In 2.88
7 Li 0.1880 0.5365 0.3760  4 Li 2.68-2.75, 1 In 2.88
8 Li 0.8120 0.4635 0.6240  4 Li 2.68-2.75, 1 In 2.88
9 In 0.5000 0.0000 0.0000  4 Li 2.73
10 In 0.0000 0.7758 0.0000  6 Li 2.88-3.00, 2 In 3.11
11 In 0.0000 0.2242 0.0000  6 Li 2.88-3.00, 2 In 3.11
12 Pb 0.5000 0.5000 0.0000  4 Li 2.98
13 Pb 0.2097 0.2097 0.4195  12 Li 3.10-3.36
14 Pb 0.7903 0.7903 0.5805  12 Li 3.10-3.36

Results
**Formation energy from the elements**: -0.15 eV per atom
**Space group**: No. 71
**DFT total energy**: -2.6241 eV/atom
**Spin magnetization**: 0.000 μB per cell